A relaxed MgGa2Os crystal. Source: Alexandria via LeMat-Bulk, functional PBE.

Unit cell a=4.195 b=4.195 c=14.388 alpha=90.00 beta=90.00 gamma=120.00
Fractional coordinates of all 12 atoms:
Mg1 0.000 0.000 0.000
Mg2 0.333 0.667 0.667
Mg3 0.667 0.333 0.333
Ga1 0.000 0.000 0.567
Ga2 0.000 0.000 0.789
Ga3 0.333 0.667 0.233
Ga4 0.333 0.667 0.455
Ga5 0.667 0.333 0.122
Ga6 0.667 0.333 0.900
Os1 0.000 0.000 0.191
Os2 0.333 0.667 0.858
Os3 0.667 0.333 0.524

Output
For the theoretical density, the calculation gives 8.043 g cm⁻³. The calculated formation energy comes out at -0.0086 eV/atom.